Crystalline LaBSeBr2 at its relaxed geometry. Source: Alexandria via LeMat-Bulk, functional GGA-PBE.

Summary:
- Magnetic moment: 0.3 μB per formula unit
- Energy above the most stable polymorph in this dataset: 0.000 eV per formula unit
- Space group: No. 123

Unit cell a=4.873 b=4.873 c=4.728 alpha=90.00 beta=90.00 gamma=90.00
Last column: magnetic moment on the atom in μB.
Positions (direct):
La  0.500  0.500  0.500  0.23
Se  0.000  0.000  0.500  -0.01
Br  0.500  0.000  0.000  0.00
B  0.000  0.000  0.000  0.00
Br  0.000  0.500  0.000  0.00

Crystalline LaBSe2Br at its relaxed geometry. Source: Alexandria via LeMat-Bulk, functional GGA-PBE.

Summary:
- Magnetic moment: 0.0 μB per formula unit
- Energy above the most stable polymorph in this dataset: 0.000 eV per formula unit
- Space group: No. 123

Unit cell a=4.766 b=4.766 c=4.664 alpha=90.00 beta=90.00 gamma=90.00
Positions (direct):
Se  0.500  0.000  0.000
La  0.500  0.500  0.500
Br  0.000  0.000  0.500
Se  0.000  0.500  0.000
B  0.000  0.000  0.000

Crystalline LaTaBBr2 at its relaxed geometry. Source: Alexandria via LeMat-Bulk, functional GGA-PBE.

Summary:
- Total energy: -4.1594 eV/atom
- Magnetic moment: 2.5 μB per formula unit
- Space group: No. 123

Unit cell a=5.750 b=5.093 c=5.750 alpha=90.00 beta=90.00 gamma=90.00
Last column: magnetic moment on the atom in μB.
Positions (direct):
Br  0.000  0.000  0.500  0.00
La  0.000  0.000  0.000  -0.14
Ta  0.500  0.500  0.500  2.28
Br  0.500  0.000  0.000  -0.02
B  0.000  0.500  0.000  -0.31

Crystalline LaTcBBr2 at its relaxed geometry. Source: Alexandria via LeMat-Bulk, functional GGA-PBE.

Summary:
- Total energy: -4.1188 eV/atom
- Magnetic moment: 3.9 μB per formula unit
- Space group: No. 123

Unit cell a=5.817 b=5.277 c=5.817 alpha=90.00 beta=90.00 gamma=90.00
Last column: magnetic moment on the atom in μB.
Positions (direct):
Tc  0.500  0.500  0.500  4.11
Br  0.500  0.000  0.000  0.02
Br  0.000  0.000  0.500  0.03
B  0.000  0.500  0.000  -0.35
La  0.000  0.000  0.000  -0.16

Crystalline LiB3Br at its relaxed geometry. Source: Alexandria via LeMat-Bulk, functional GGA-PBE.

Summary:
- Magnetic moment: 0.0 μB per formula unit
- Energy above the most stable polymorph in this dataset: 1.278 eV per formula unit
- Space group: No. 221

Unit cell a=4.285 b=4.285 c=4.285 alpha=90.00 beta=90.00 gamma=90.00
Positions (direct):
B  0.000  0.500  0.000
B  0.000  0.000  0.500
Br  0.000  0.000  0.000
B  0.500  0.000  0.000
Li  0.500  0.500  0.500

Crystalline LiB3Br at its relaxed geometry. Source: Alexandria via LeMat-Bulk, functional GGA-PBE.

Summary:
- Magnetic moment: 0.0 μB per formula unit
- Energy above the most stable polymorph in this dataset: 0.000 eV per formula unit
- Space group: No. 221

Unit cell a=4.150 b=4.150 c=4.150 alpha=90.00 beta=90.00 gamma=90.00
Positions (direct):
B  0.000  0.000  0.500
B  0.500  0.000  0.000
Li  0.000  0.000  0.000
B  0.000  0.500  0.000
Br  0.500  0.500  0.500

Crystalline Li2BBr2 at its relaxed geometry. Source: Alexandria via LeMat-Bulk, functional GGA-PBE.

Summary:
- Magnetic moment: 0.0 μB per formula unit
- Energy above the most stable polymorph in this dataset: 0.000 eV per formula unit
- Space group: No. 127

Unit cell a=7.491 b=7.491 c=3.550 alpha=90.00 beta=90.00 gamma=90.00
Positions (direct):
B  0.000  0.000  0.000
Li  0.838  0.338  0.500
Br  0.838  0.662  0.000
Br  0.662  0.162  0.000
Li  0.662  0.838  0.500
Br  0.162  0.338  0.000
Li  0.338  0.162  0.500
Li  0.162  0.662  0.500
B  0.500  0.500  0.000
Br  0.338  0.838  0.000

Crystalline LiBBr2 at its relaxed geometry. Source: Alexandria via LeMat-Bulk, functional GGA-PBE.

Summary:
- Magnetic moment: 0.0 μB per formula unit
- Energy above the most stable polymorph in this dataset: 0.926 eV per formula unit
- Space group: No. 225

Unit cell a=4.920 b=4.920 c=4.920 alpha=60.00 beta=60.00 gamma=60.00
Positions (direct):
Br  0.250  0.250  0.250
Br  0.750  0.750  0.750
Li  0.000  0.000  0.000
B  0.500  0.500  0.500